[1]
The following is a DFT calculation (SCAN) of a PBEsol-optimized structure of Ce3Rh2.

a b c (Å): 8.5335 8.5335 15.9677
angles (deg): 90.00 90.00 120.00
Last column: nearest neighbours and their distance in Å.
Space group R-3 (No. 148, hexagonal axes)
Inequivalent atoms, fractional coordinates:
Ce: 0.0000 0.0000 0.0000  6 Rh 2.92
Ce: 0.0000 0.0000 0.2082  6 Rh 2.84-3.02
Ce: 0.0157 0.7631 0.5948  3 Rh 2.73-2.91
Rh: 0.0252 0.4040 0.5685  6 Ce 2.73-3.02, 1 Rh 2.89

Output
E_tot, eV/atom: -40.889
ρ, g/cm3: 9.293
Size of the total moment, μB per cell: 23.8
E_form, kJ/mol of atoms: -62.0

***

[2]
The following is a DFT calculation (SCAN) of a PBEsol-optimized structure of CeRh2.

a b c (Å): 7.4354 7.4354 7.4354
angles (deg): 90.00 90.00 90.00
Last column: nearest neighbours and their distance in Å.
Space group Fd-3m (No. 227, origin choice 2)
Inequivalent atoms, fractional coordinates:
Ce: 0.1250 0.1250 0.1250  12 Rh 3.08, 4 Ce 3.22
Rh: 0.0000 0.0000 0.5000  6 Rh 2.63

Output
E_tot, eV/atom: -38.140
ρ, g/cm3: 11.179
Size of the total moment, μB per cell: 0.0
E_form, kJ/mol of atoms: -74.4

***

[3]
The following is a DFT calculation (SCAN) of a PBEsol-optimized structure of CeRuRh.

a b c (Å): 4.9400 5.3229 7.8484
angles (deg): 90.00 90.00 90.00
Last column: nearest neighbours and their distance in Å.
Space group Imma (No. 74)
Inequivalent atoms, fractional coordinates:
Ce: 0.0000 0.2500 0.1300  6 Rh 2.99-3.19, 6 Ru 3.08-3.23, 2 Ce 3.11
Ru: 0.2500 0.2500 0.7500  2 Ru 2.47, 4 Rh 2.67
Rh: 0.0000 0.0000 0.5000  2 Rh 2.66, 4 Ru 2.67

Output
E_tot, eV/atom: -38.261
ρ, g/cm3: 11.075
Size of the total moment, μB per cell: 0.0
E_form, kJ/mol of atoms: -52.2

***

[4]
The following is a DFT calculation (SCAN) of a PBEsol-optimized structure of Ce2Si7Rh15.

a b c (Å): 8.7891 8.7891 8.7891
angles (deg): 90.00 90.00 90.00
Last column: nearest neighbours and their distance in Å.
Space group Pm-3m (No. 221)
Inequivalent atoms, fractional coordinates:
Ce: 0.0000 0.0000 0.0000  12 Rh 2.96, 6 Si 3.20
Ce: 0.0000 0.5000 0.5000  2 Rh 2.41
Si: 0.0000 0.0000 0.3645  8 Rh 2.37-2.50, 1 Si 2.38
Si: 0.2873 0.2873 0.2873  6 Rh 2.32-2.60
Rh: 0.0000 0.2380 0.2380  4 Si 2.37-2.60
Rh: 0.1766 0.1766 0.5000  4 Si 2.32-2.50
Rh: 0.2746 0.5000 0.5000  1 Ce 2.41, 4 Si 2.65

Output
E_tot, eV/atom: -28.711
ρ, g/cm3: 9.883
Size of the total moment, μB per cell: 0.0
Energy relative to the elements, uncorrected, eV per atom: -0.97

***

[5]
The following is a DFT calculation (SCAN) of a PBEsol-optimized structure of CeSi2Rh.

a b c (Å): 4.1277 16.6683 4.1151
angles (deg): 90.00 90.00 90.00
Last column: nearest neighbours and their distance in Å.
Space group Cmcm (No. 63)
Inequivalent atoms, fractional coordinates:
Ce: 0.0000 0.1058 0.2500  10 Si 3.13-3.17, 4 Rh 3.15
Si: 0.0000 0.2496 0.7500  4 Rh 2.39
Si: 0.0000 0.4632 0.2500  1 Rh 2.34, 2 Si 2.40
Rh: 0.0000 0.3228 0.2500  5 Si 2.34-2.39

Output
E_tot, eV/atom: -25.593
ρ, g/cm3: 7.019
Size of the total moment, μB per cell: 0.0
Energy relative to the elements, uncorrected, eV per atom: -1.00

***

[6]
The following is a DFT calculation (SCAN) of a PBEsol-optimized structure of CeSi2Rh2.

a b c (Å): 4.0316 4.0316 10.0022
angles (deg): 90.00 90.00 90.00
Last column: nearest neighbours and their distance in Å.
Space group I4/mmm (No. 139)
Inequivalent atoms, fractional coordinates:
Ce: 0.0000 0.0000 0.0000  8 Si 3.10, 8 Rh 3.21
Si: 0.0000 0.0000 0.3788  4 Rh 2.39, 1 Si 2.43
Rh: 0.0000 0.5000 0.2500  4 Si 2.39

Output
E_tot, eV/atom: -27.598
ρ, g/cm3: 8.214
Size of the total moment, μB per cell: 1.3
Energy relative to the elements, uncorrected, eV per atom: -1.17